1.
Here is an optimized crystal structure of CaAcPr2Te4 from the Alexandria database. Energies are from PBE.

a = 7.9325 Å, b = 4.5455 Å, c = 7.9850 Å
α = 90.00°, β = 108.98°, γ = 90.00°
With the nearest neighbours (Å) after each atom.
Atoms (fractional coordinates):
1 Ca 0.0000 0.0000 0.0000  6 Te 3.20-3.21
2 Ac 0.5000 0.5000 0.0000  6 Te 3.29
3 Pr 0.0000 0.5000 0.5000  6 Te 3.19
4 Pr 0.5000 0.0000 0.5000  6 Te 3.27-3.28
5 Te 0.2390 0.0000 0.7455  3 Pr 3.19-3.28, 1 Ca 3.20, 2 Ac 3.29
6 Te 0.2413 0.5000 0.2488  3 Pr 3.19-3.27, 2 Ca 3.21, 1 Ac 3.29
7 Te 0.7587 0.5000 0.7512  3 Pr 3.19-3.27, 2 Ca 3.21, 1 Ac 3.29
8 Te 0.7610 0.0000 0.2545  3 Pr 3.19-3.28, 1 Ca 3.20, 2 Ac 3.29

Electronic total energy = -5.015 eV/atom
Uncorrected formation energy = -1.486 eV/atom

=====

2.
Here is an optimized crystal structure of CaAc4Pr3Te8 from the Alexandria database. Energies are from PBE.

a = 9.2527 Å, b = 9.2527 Å, c = 9.2527 Å
α = 60.13°, β = 60.13°, γ = 60.13°
With the nearest neighbours (Å) after each atom.
Atoms (fractional coordinates):
1 Ca 0.0000 0.0000 0.0000  6 Te 3.18
2 Ac 0.0000 0.0000 0.5000  6 Te 3.33
3 Ac 0.0000 0.5000 0.0000  6 Te 3.33
4 Ac 0.5000 0.0000 0.0000  6 Te 3.33
5 Ac 0.5000 0.5000 0.5000  6 Te 3.37
6 Pr 0.0000 0.5000 0.5000  6 Te 3.22-3.23
7 Pr 0.5000 0.0000 0.5000  6 Te 3.22-3.23
8 Pr 0.5000 0.5000 0.0000  6 Te 3.22-3.23
9 Te 0.2427 0.2427 0.7495  1 Ca 3.18, 2 Pr 3.23, 3 Ac 3.33-3.37
10 Te 0.2427 0.7495 0.2427  1 Ca 3.18, 2 Pr 3.23, 3 Ac 3.33-3.37
11 Te 0.2505 0.7573 0.7573  1 Ca 3.18, 2 Pr 3.23, 3 Ac 3.33-3.37
12 Te 0.2539 0.2539 0.2539  3 Pr 3.22, 3 Ac 3.33
13 Te 0.7461 0.7461 0.7461  3 Pr 3.22, 3 Ac 3.33
14 Te 0.7495 0.2427 0.2427  1 Ca 3.18, 2 Pr 3.23, 3 Ac 3.33-3.37
15 Te 0.7573 0.2505 0.7573  1 Ca 3.18, 2 Pr 3.23, 3 Ac 3.33-3.37
16 Te 0.7573 0.7573 0.2505  1 Ca 3.18, 2 Pr 3.23, 3 Ac 3.33-3.37

Electronic total energy = -5.100 eV/atom
Uncorrected formation energy = -1.481 eV/atom